# 1
Material: LaP4W
Method: DFT, PBE
State: optimized geometry

a b c (Å): 5.279 5.279 5.279
angles (deg): 60.00 60.00 60.00
Each line ends with the local moment (μB).
Positions (direct):
La (0.000, 0.000, 0.000)  0.07
P (0.851, 0.383, 0.383)  0.01
P (0.383, 0.383, 0.851)  0.01
P (0.383, 0.851, 0.383)  0.01
P (0.383, 0.383, 0.383)  0.01
W (0.750, 0.750, 0.750)  0.89

Computed properties:
DFT formation energy	0.486	eV per atom
spin magnetization	0.22	μB per atom
calculated volume	17.34	Å³ per atom

---

# 2
Material: LaP3W
Method: DFT, PBE
State: optimized geometry

a b c (Å): 4.740 4.740 4.740
angles (deg): 90.00 90.00 90.00
Positions (direct):
P (0.000, 0.500, 0.000)
P (0.000, 0.000, 0.500)
P (0.500, 0.000, 0.000)
W (0.000, 0.000, 0.000)
La (0.500, 0.500, 0.500)

Computed properties:
DFT formation energy	-0.395	eV per atom
spin magnetization	0.00	μB per atom
calculated volume	21.30	Å³ per atom

---

# 3
Material: LaPW3
Method: DFT, PBE
State: optimized geometry

a b c (Å): 4.637 4.637 4.637
angles (deg): 90.00 90.00 90.00
Positions (direct):
P (0.000, 0.000, 0.000)
W (0.000, 0.500, 0.000)
W (0.000, 0.000, 0.500)
W (0.500, 0.000, 0.000)
La (0.500, 0.500, 0.500)

Computed properties:
DFT formation energy	0.669	eV per atom
spin magnetization	0.00	μB per atom
calculated volume	19.94	Å³ per atom

---

# 4
Material: LaP3W
Method: DFT, PBE
State: optimized geometry

a b c (Å): 5.122 5.122 5.122
angles (deg): 90.00 90.00 90.00
Each line ends with the local moment (μB).
Positions (direct):
P (0.000, 0.500, 0.000)  0.03
P (0.000, 0.000, 0.500)  0.03
P (0.500, 0.000, 0.000)  0.02
W (0.500, 0.500, 0.500)  -0.51
La (0.000, 0.000, 0.000)  0.00

Computed properties:
DFT formation energy	2.092	eV per atom
spin magnetization	0.11	μB per atom
calculated volume	26.87	Å³ per atom

---

# 5
Material: LaP2W2
Method: DFT, PBE
State: optimized geometry

a b c (Å): 4.650 4.650 5.526
angles (deg): 65.12 65.12 90.00
Positions (direct):
P (0.750, 0.250, 0.500)
P (0.250, 0.750, 0.500)
W (0.366, 0.366, 0.267)
W (0.634, 0.634, 0.733)
La (0.000, 0.000, 0.000)

Computed properties:
DFT formation energy	-0.378	eV per atom
spin magnetization	0.00	μB per atom
calculated volume	19.21	Å³ per atom

---

# 6
Material: La2ZnPW
Method: DFT, PBE
State: optimized geometry

a b c (Å): 5.533 4.711 5.533
angles (deg): 90.00 90.00 90.00
Each line ends with the local moment (μB).
Positions (direct):
P (0.500, 0.500, 0.500)  -0.01
Zn (0.000, 0.000, 0.000)  0.02
W (0.000, 0.500, 0.000)  1.63
La (0.000, 0.000, 0.500)  0.01
La (0.500, 0.000, 0.000)  -0.02

Computed properties:
DFT formation energy	0.715	eV per atom
spin magnetization	0.45	μB per atom
calculated volume	28.84	Å³ per atom

---

# 7
Material: LaY3P
Method: DFT, PBE
State: optimized geometry

a b c (Å): 5.425 5.425 5.425
angles (deg): 90.00 90.00 90.00
Positions (direct):
Y (0.000, 0.500, 0.000)
Y (0.000, 0.000, 0.500)
Y (0.500, 0.000, 0.000)
P (0.000, 0.000, 0.000)
La (0.500, 0.500, 0.500)

Computed properties:
DFT formation energy	-0.452	eV per atom
spin magnetization	0.00	μB per atom
calculated volume	31.94	Å³ per atom

---

# 8
Material: LaY2P
Method: DFT, PBE
State: optimized geometry

a b c (Å): 6.387 6.387 3.767
angles (deg): 90.00 90.00 123.91
Positions (direct):
La (0.500, 0.500, 0.500)
Y (0.828, 0.172, 0.000)
Y (0.172, 0.828, 0.000)
P (0.000, 0.000, 0.500)

Computed properties:
DFT formation energy	-0.612	eV per atom
spin magnetization	0.00	μB per atom
calculated volume	31.88	Å³ per atom